8
Lattice="-3.804 -0.849 1.265 1.456 -3.032 2.341 -0.717 0.722 4.967" Properties=species:S:1:pos:R:3 comment="BN2F | the Alexandria database | PBE | optimized geometry" relative_energy_mev_per_atom=0 space_group="I-42d (122)" pbc="T T T"
N -1.754 -0.591 2.119
N -0.366 -1.959 3.070
N -1.180 -1.408 5.460
N -2.830 -2.359 6.499
B -1.174 -1.940 1.803
B -0.218 -2.125 4.556
F -2.847 -1.034 4.018
F 0.000 0.000 0.000